BaScAgS3: relaxed, GGA-PBE.

It has space group P2_1/m (No. 11), with a = 8.0377 Å, b = 4.0241 Å, c = 9.1948 Å, α = 90.00°, β = 108.11° and γ = 90.00°. Symmetry generates all atoms from Ba at (0.2263, 0.2500, 0.2572), Sc at (0.3207, 0.7500, 0.8481), Ag at (0.0999, 0.2500, 0.5967), S at (0.1092, 0.2500, 0.8714), S at (0.2730, 0.7500, 0.5481) and S at (0.4581, 0.7500, 0.1402).

For the total energy, the calculation gives -65.179 eV per cell.

Sc4Nb2Cd3C3: relaxed, GGA-PBE.

It has space group C2/c (No. 15), with a = 9.8199 Å, b = 5.6760 Å, c = 15.4806 Å, α = 90.00°, β = 102.84° and γ = 90.00°. Symmetry generates all atoms from Sc at (0.1130, 0.0714, 0.0847), Sc at (0.2144, 0.0892, 0.4154), Nb at (0.0637, 0.4112, 0.9279), Cd at (0.0000, 0.1124, 0.7500), Cd at (0.1519, 0.4286, 0.2481), C at (0.0784, 0.2647, 0.5000) and C at (0.2500, 0.2500, 0.0000).

For the total energy, the calculation gives -324.198 eV per cell.

LuPd3C3: relaxed, GGA-PBE.

It has space group P6_3/mmc (No. 194), with a = 3.4623 Å, b = 3.4623 Å, c = 17.7349 Å, α = 90.00°, β = 90.00° and γ = 120.00°. Symmetry generates all atoms from Lu at (0.0000, 0.0000, 0.0000), Pd at (0.3333, 0.6667, 0.1323), Pd at (0.3333, 0.6667, 0.7500), C at (0.3333, 0.6667, 0.2500) and C at (0.3333, 0.6667, 0.5797).

For the total energy, the calculation gives -88.008 eV per cell.

KZr3Si5: relaxed, GGA-PBE.

It has space group P6/mmm (No. 191), with a = 5.9151 Å, b = 5.9151 Å, c = 6.6615 Å, α = 90.00°, β = 90.00° and γ = 120.00°. Symmetry generates all atoms from K at (0.0000, 0.0000, 0.0000), Zr at (0.0000, 0.5000, 0.5000), Si at (0.0000, 0.0000, 0.5000) and Si at (0.3333, 0.6667, 0.1721).

For the total energy, the calculation gives -54.337 eV per cell.

Number 1: total magnetization 0.001 μB per formula unit. Number 2: total magnetization 0.007 μB per formula unit. Number 3: total magnetization 0.002 μB per formula unit. Number 4: total magnetization 0.019 μB per formula unit.